This record from Alexandria describes a PBEsol-optimized structure of NaSb2TeS. The functional is meta-GGA SCAN.

Energy (eV/atom): -24.06
Theoretical density (g/cm³): 4.9
Magnetization (Bohr magnetons per cell): 1.2
Raw formation energy (eV per formula unit): 5.30
Volume (Å³/cell): 144.8

The structure in CIF format:
```
data_NaSb2TeS
_chemical_formula_sum 'Na1 Sb2 Te1 S1'
_symmetry_space_group_name_H-M 'P 4/m m m'
_symmetry_Int_Tables_number 123
_symmetry_space_group_name_Hall '-P 4 2'
_cell_length_a 5.314
_cell_length_b 5.314
_cell_length_c 5.127
_cell_angle_alpha 90.00
_cell_angle_beta 90.00
_cell_angle_gamma 90.00
loop_
_atom_site_label
_atom_site_fract_x
_atom_site_fract_y
_atom_site_fract_z
Na1 0.000 0.000 0.000
Sb1 0.000 0.500 0.000
Te1 0.000 0.000 0.500
S1 0.500 0.500 0.500
```